Entry 1:
{
  "formula": "CsHgAu3",
  "functional": "PBE-GGA",
  "state": "optimized geometry",
  "lattice_angstrom": [[5.4351, 0.0000, 0.0000], [0.0000, 5.4351, 0.0000], [0.0000, 0.0000, 5.4351]],
  "species": ["Cs", "Au", "Au", "Au", "Hg"],
  "frac_coords": [[0.5000, 0.5000, 0.5000], [0.0000, 0.5000, 0.0000], [0.0000, 0.0000, 0.5000], [0.5000, 0.0000, 0.0000], [0.0000, 0.0000, 0.0000]],
  "e_tot_ev_per_atom": -2.1348,
  "de_polymorph_kcal_per_mol_atoms": 3.32,
  "sg": "No. 221"
}


Entry 2:
{
  "formula": "Cs3Hg8Au2",
  "functional": "PBE-GGA",
  "state": "optimized geometry",
  "lattice_angstrom": [[-2.1826, -4.7072, -4.0868], [4.0088, -2.4723, -4.6304], [4.4352, -11.0617, 5.0353]],
  "species": ["Cs", "Cs", "Cs", "Hg", "Hg", "Hg", "Hg", "Hg", "Hg", "Hg", "Hg", "Au", "Au"],
  "frac_coords": [[0.0000, 0.0000, 0.0000], [0.8134, 0.8134, 0.5597], [0.1866, 0.1866, 0.4403], [0.7117, 0.7117, 0.8649], [0.2883, 0.2883, 0.1351], [0.2438, 0.7382, 0.2799], [0.7382, 0.2438, 0.2799], [0.7382, 0.7382, 0.2799], [0.2618, 0.7562, 0.7201], [0.7562, 0.2618, 0.7201], [0.2618, 0.2618, 0.7201], [0.6347, 0.6347, 0.0959], [0.3653, 0.3653, 0.9041]],
  "e_tot_ev_per_atom": -1.0585,
  "sg": "No. 166"
}


Entry 3:
{
  "formula": "Cs2Hg9Au3",
  "functional": "PBE-GGA",
  "state": "optimized geometry",
  "lattice_angstrom": [[8.2061, -0.0554, -3.4572], [-4.8364, 7.4769, 0.0122], [0.7300, 0.4837, 13.1208]],
  "species": ["Cs", "Cs", "Cs", "Cs", "Hg", "Hg", "Hg", "Hg", "Hg", "Hg", "Hg", "Hg", "Hg", "Hg", "Hg", "Hg", "Hg", "Hg", "Hg", "Hg", "Hg", "Hg", "Au", "Au", "Au", "Au", "Au", "Au"],
  "frac_coords": [[0.3352, 0.2492, 0.7505], [0.6648, 0.7508, 0.2495], [0.9987, 0.5847, 0.7495], [0.0013, 0.4153, 0.2505], [0.4637, 0.9162, 0.7501], [0.5363, 0.0838, 0.2499], [0.6660, 0.7136, 0.7499], [0.3340, 0.2864, 0.2501], [0.4633, 0.6513, 0.9372], [0.5367, 0.3487, 0.0628], [0.2141, 0.5261, 0.5628], [0.7859, 0.4739, 0.4372], [0.8722, 0.1222, 0.7500], [0.1278, 0.8778, 0.2500], [0.1255, 0.9825, 0.9448], [0.8745, 0.0175, 0.0552], [0.5377, 0.1807, 0.5552], [0.4623, 0.8193, 0.4448], [0.8670, 0.8551, 0.5618], [0.1330, 0.1449, 0.4382], [0.7933, 0.3052, 0.9382], [0.2067, 0.6948, 0.0618], [0.5000, 0.0000, 0.0000], [0.5000, 0.5000, 0.5000], [0.8398, 0.1703, 0.4985], [0.1602, 0.8297, 0.5015], [0.1718, 0.3413, 0.0015], [0.8282, 0.6587, 0.9985]],
  "e_tot_ev_per_atom": -1.1563,
  "sg": "No. 15"
}


Entry 4:
{
  "formula": "CsHgAu",
  "functional": "PBE-GGA",
  "state": "optimized geometry",
  "lattice_angstrom": [[7.8045, 0.0000, 0.0000], [0.0000, 7.8045, 0.0000], [0.0000, 0.0000, 7.8045]],
  "species": ["Cs", "Cs", "Cs", "Cs", "Hg", "Hg", "Hg", "Hg", "Au", "Au", "Au", "Au"],
  "frac_coords": [[0.0867, 0.0867, 0.0867], [0.5867, 0.4133, 0.9133], [0.4133, 0.9133, 0.5867], [0.9133, 0.5867, 0.4133], [0.4215, 0.4215, 0.4215], [0.0785, 0.5785, 0.9215], [0.9215, 0.0785, 0.5785], [0.5785, 0.9215, 0.0785], [0.3205, 0.6795, 0.1795], [0.1795, 0.3205, 0.6795], [0.6795, 0.1795, 0.3205], [0.8205, 0.8205, 0.8205]],
  "e_tot_ev_per_atom": -1.7541,
  "de_polymorph_kcal_per_mol_atoms": 0.49,
  "sg": "No. 198"
}


Entry 5:
{
  "formula": "Cs3Hg3Au2",
  "functional": "PBE-GGA",
  "state": "optimized geometry",
  "lattice_angstrom": [[5.0515, 0.0000, 0.0000], [-2.5258, 6.7388, 0.0000], [0.0000, 0.0000, 19.3576]],
  "species": ["Cs", "Cs", "Cs", "Cs", "Cs", "Cs", "Hg", "Hg", "Hg", "Hg", "Hg", "Hg", "Au", "Au", "Au", "Au"],
  "frac_coords": [[0.8675, 0.7350, 0.4108], [0.1325, 0.2650, 0.9108], [0.8675, 0.7350, 0.0892], [0.1325, 0.2650, 0.5892], [0.5759, 0.1517, 0.2500], [0.4241, 0.8483, 0.7500], [0.5891, 0.1782, 0.4432], [0.4109, 0.8218, 0.9432], [0.5891, 0.1782, 0.0568], [0.4109, 0.8218, 0.5568], [0.2880, 0.5760, 0.2500], [0.7120, 0.4240, 0.7500], [0.8389, 0.6778, 0.8775], [0.1611, 0.3222, 0.3775], [0.8389, 0.6778, 0.6225], [0.1611, 0.3222, 0.1225]],
  "e_tot_ev_per_atom": -1.5518,
  "sg": "No. 63"
}


Entry 6:
{
  "formula": "CsHg4Au",
  "functional": "PBE-GGA",
  "state": "optimized geometry",
  "lattice_angstrom": [[6.5214, 0.0000, 0.0000], [3.2607, 5.6477, 0.0000], [3.2607, 1.8826, 5.3247]],
  "species": ["Cs", "Au", "Hg", "Hg", "Hg", "Hg"],
  "frac_coords": [[0.2500, 0.2500, 0.2500], [0.0000, 0.0000, 0.0000], [0.6264, 0.6264, 0.1208], [0.6264, 0.1208, 0.6264], [0.6264, 0.6264, 0.6264], [0.1208, 0.6264, 0.6264]],
  "e_tot_ev_per_atom": -0.9779,
  "de_polymorph_kcal_per_mol_atoms": 1.91,
  "sg": "No. 216"
}


D(E_F) readings, ordered: 0.9; 5.4; 4.4; 4.2; 6.6; 0.2 states/eV/cell
Magnetization readings, ordered: 0.0; 0.0; 0.0; 0.0; 0.0; 0.0 μB/f.u.
ΔH_f (0 K) readings, ordered: 63; -172; -138; -277; -299; -88 meV per atom